[1]
Density functional theory data (PBE) for a geometry-optimized TeP3I structure.

Cell lengths 5.164, 5.164, 5.164 Å; angles 90.00, 90.00, 90.00 degrees
Space group Pm-3m (No. 221)
Unique sites:
Te  0.000  0.000  0.000
P  0.000  0.000  0.500
I  0.500  0.500  0.500

Results
Offset from the most stable computed form (meV per atom): 0
Total magnetization (μB/cell): 0.0

***

[2]
Density functional theory data (PBE) for a geometry-optimized PmPr4Dy3Se8 structure.

Cell lengths 8.2958, 8.2958, 20.9124 Å; angles 90.00, 90.00, 120.00 degrees
Space group R-3m (No. 166, hexagonal axes)
Unique sites:
Pm  0.0000  0.0000  0.0000
Pr  0.0000  0.0000  0.5000
Pr  0.0000  0.5000  0.5000
Dy  0.0000  0.5000  0.0000
Se  0.0000  0.0000  0.2561
Se  0.0055  0.5028  0.2549

Results
Total magnetization (μB/cell): 0.0
Final energy (eV/atom): -5.9036

***

[3]
Density functional theory data (PBE) for a geometry-optimized CaPm2Zn4 structure.

Cell lengths 5.0409, 5.0409, 24.6441 Å; angles 90.00, 90.00, 120.00 degrees
Space group R-3m (No. 166, hexagonal axes)
Unique sites:
Ca  0.0000  0.0000  0.0000
Pm  0.0000  0.0000  0.2470
Zn  0.0000  0.0000  0.1246
Zn  0.0000  0.0000  0.3805

Results
Total magnetization (μB/cell): 0.0
ΔE_f (meV/atom): -72

***

[4]
Density functional theory data (PBE) for a geometry-optimized AcDy2Tl structure.

Cell lengths 5.058, 5.058, 5.004 Å; angles 90.00, 90.00, 90.00 degrees
Space group P4/mmm (No. 123)
Unique sites:
Ac  0.000  0.000  0.000
Dy  0.000  0.500  0.500
Tl  0.500  0.500  0.000

Results
Offset from the most stable computed form (meV per atom): 47
Total magnetization (μB/cell): 0.9
ΔE_f (meV/atom): -103

***

[5]
Density functional theory data (PBE) for a geometry-optimized Sm6BeSe5 structure.

Cell lengths 7.247, 12.510, 7.211 Å; angles 90.00, 109.54, 90.00 degrees
Space group C2/m (No. 12)
Unique sites:
Sm  0.237  0.000  0.258
Sm  0.239  0.159  0.740
Be  0.000  0.000  0.500
Se  0.000  0.172  0.000
Se  0.000  0.334  0.500
Se  0.000  0.500  0.000

Results
Total magnetization (μB/cell): 0.0
Final energy (eV/atom): -5.6499

***

[6]
Density functional theory data (PBE) for a geometry-optimized EuMgAl2 structure.

Cell lengths 4.617, 4.617, 4.270 Å; angles 90.00, 90.00, 90.00 degrees
Space group P4/mmm (No. 123)
Unique sites:
Eu  0.000  0.000  0.000
Mg  0.500  0.500  0.000
Al  0.000  0.500  0.500

Results
Total magnetization (μB/cell): 7.0
ΔE_f (meV/atom): -139

***

Number 1 is which compound? TeP3I